Here is crystalline Cs2RbF4 at its relaxed geometry from Alexandria. Energies are from PBE.

Lattice parameters (Å, degrees): 5.117 5.117 14.993 90.00 90.00 90.00
Space group I4/mmm (No. 139)
Inequivalent atoms, fractional coordinates:
Cs (0.000, 0.000, 0.139) [4 per cell]
Rb (0.000, 0.000, 0.500) [2 per cell]
F (0.000, 0.000, 0.323) [4 per cell]
F (0.000, 0.500, 0.000) [4 per cell]

## Properties
**E_form (uncorrected)**: -2252 meV per atom
**VASP energy**: -0.136 Ha/atom